Record 1
Crystalline Sc3MnSe at its relaxed geometry, computed with PBE-GGA.

Output
For the energy above the most stable polymorph in this dataset, the calculation gives 0.000 eV/f.u. As for the raw formation energy: -24 meV/atom.

a = 4.803 Å, b = 4.803 Å, c = 4.803 Å
α = 90.00°, β = 90.00°, γ = 90.00°
Positions (direct):
Se: 0.500 0.500 0.500
Mn: 0.000 0.000 0.000
Sc: 0.500 0.000 0.000
Sc: 0.000 0.000 0.500
Sc: 0.000 0.500 0.000

Record 2
Crystalline LiNbGaRh at its relaxed geometry, computed with PBE-GGA.

Output
The formation enthalpy at 0 K comes out at -0.52 eV per atom.

a = 4.348 Å, b = 4.348 Å, c = 4.348 Å
α = 60.00°, β = 60.00°, γ = 60.00°
Positions (direct):
Nb: 0.750 0.750 0.750
Rh: 0.000 0.000 0.000
Ga: 0.250 0.250 0.250
Li: 0.500 0.500 0.500

Record 3
Crystalline TmAlCu4 at its relaxed geometry, computed with PBE-GGA.

Output
The formation enthalpy at 0 K comes out at -0.26 eV per atom.

a = 5.137 Å, b = 5.137 Å, c = 4.028 Å
α = 90.00°, β = 90.00°, γ = 120.00°
Positions (direct):
Cu: 0.000 0.000 0.000
Cu: 0.834 0.668 0.500
Cu: 0.834 0.166 0.500
Cu: 0.332 0.166 0.500
Al: 0.667 0.333 0.000
Tm: 0.333 0.667 0.000